Below is crystalline ErOF at its relaxed geometry, with properties calculated at the GGA-PBE level.

Cell: 3.245 3.245 4.338 Å, 90.11 90.11 90.03°
Fractional coordinates of all 3 atoms:
Er  0.000  0.000  0.000
O  0.500  0.500  0.000
F  0.001  0.001  0.500

- DOS at the Fermi energy: 0.00 states/eV/f.u.
- Uncorrected energy: -7.49 eV/atom
- Space-group type: Cm
- Energy relative to the elements, uncorrected: -356 kJ/mol of atoms
- Density: 7.35 g cm⁻³
- Crystal system: monoclinic